<i>
## MnOs3S (PBE-GGA)

Data for crystalline MnOs3S at its relaxed geometry.

Computed properties:
- Magnetization: 0.25 Bohr magnetons per cell

Geometry as CIF:
```
data_MnOs3S
_chemical_formula_sum 'Mn1 Os3 S1'
_cell_length_a 4.292
_cell_length_b 4.292
_cell_length_c 4.292
_cell_angle_alpha 90.00
_cell_angle_beta 90.00
_cell_angle_gamma 90.00
_symmetry_space_group_name_H-M 'P m -3 m'
_symmetry_Int_Tables_number 221
_symmetry_space_group_name_Hall '-P 4 2 3'
loop_
_atom_site_label
_atom_site_fract_x
_atom_site_fract_y
_atom_site_fract_z
Mn1 0.000 0.000 0.000
Os1 0.000 0.500 0.500
S1 0.500 0.500 0.500
```

=====

<ii>
## MnOs3S (PBE-GGA)

Data for crystalline MnOs3S at its relaxed geometry.

Computed properties:
- Magnetization: 0.00 Bohr magnetons per cell

Geometry as CIF:
```
data_MnOs3S
_chemical_formula_sum 'Mn1 Os3 S1'
_cell_length_a 4.435
_cell_length_b 4.435
_cell_length_c 4.435
_cell_angle_alpha 90.00
_cell_angle_beta 90.00
_cell_angle_gamma 90.00
_symmetry_space_group_name_H-M 'P m -3 m'
_symmetry_Int_Tables_number 221
_symmetry_space_group_name_Hall '-P 4 2 3'
loop_
_atom_site_label
_atom_site_fract_x
_atom_site_fract_y
_atom_site_fract_z
Mn1 0.000 0.000 0.000
Os1 0.000 0.000 0.500
S1 0.500 0.500 0.500
```

=====

Stability summary - winner: <i>; margin: 649 meV/atom.

=====

<i>
## MnSb2Os (PBE-GGA)

Data for crystalline MnSb2Os at its relaxed geometry.

Computed properties:
- Magnetization: 6.77 Bohr magnetons per cell

Geometry as CIF:
```
data_MnSb2Os
_chemical_formula_sum 'Mn2 Sb4 Os2'
_cell_length_a 9.248
_cell_length_b 3.276
_cell_length_c 5.158
_cell_angle_alpha 90.00
_cell_angle_beta 103.02
_cell_angle_gamma 90.00
_symmetry_space_group_name_H-M 'C 1 m 1'
_symmetry_Int_Tables_number 8
loop_
_symmetry_equiv_pos_as_xyz
'x,y,z'
'x,-y,z'
'x+1/2,y+1/2,z'
'x+1/2,-y+1/2,z'
loop_
_atom_site_label
_atom_site_fract_x
_atom_site_fract_y
_atom_site_fract_z
Mn1 0.000 0.000 0.000
Sb1 0.013 0.500 0.529
Sb2 0.242 0.500 0.127
Os1 0.251 0.000 0.703
```

=====

<ii>
## MnSb2Os (PBE-GGA)

Data for crystalline MnSb2Os at its relaxed geometry.

Computed properties:
- Magnetization: 9.89 Bohr magnetons per cell

Geometry as CIF:
```
data_MnSb2Os
_chemical_formula_sum 'Mn3 Sb6 Os3'
_cell_length_a 3.1472
_cell_length_b 3.1472
_cell_length_c 30.6328
_cell_angle_alpha 90.00
_cell_angle_beta 90.00
_cell_angle_gamma 120.00
_symmetry_space_group_name_H-M 'R 3 m'
_symmetry_Int_Tables_number 160
_symmetry_space_group_name_Hall 'R 3 -2"'
loop_
_atom_site_label
_atom_site_fract_x
_atom_site_fract_y
_atom_site_fract_z
Mn1 0.0000 0.0000 0.0000
Sb1 0.0000 0.0000 0.2629
Sb2 0.0000 0.0000 0.4621
Os1 0.0000 0.0000 0.7290
```

=====

Stability summary - winner: <i>; margin: 27 meV/atom.

=====

<i>
## MnSb2Os (PBE-GGA)

Data for crystalline MnSb2Os at its relaxed geometry.

Computed properties:
- Magnetization: 7.64 Bohr magnetons per cell

Geometry as CIF:
```
data_MnSb2Os
_chemical_formula_sum 'Mn2 Sb4 Os2'
_cell_length_a 3.118
_cell_length_b 4.182
_cell_length_c 12.370
_cell_angle_alpha 90.00
_cell_angle_beta 90.00
_cell_angle_gamma 90.00
_symmetry_space_group_name_H-M 'I m m 2'
_symmetry_Int_Tables_number 44
loop_
_symmetry_equiv_pos_as_xyz
'x,y,z'
'-x,-y,z'
'-x,y,z'
'x,-y,z'
'x+1/2,y+1/2,z+1/2'
'-x+1/2,-y+1/2,z+1/2'
'-x+1/2,y+1/2,z+1/2'
'x+1/2,-y+1/2,z+1/2'
loop_
_atom_site_label
_atom_site_fract_x
_atom_site_fract_y
_atom_site_fract_z
Mn1 0.000 0.000 0.000
Sb1 0.000 0.000 0.390
Sb2 0.000 0.500 0.149
Os1 0.000 0.500 0.708
```

=====

<ii>
## MnSb2Os (PBE-GGA)

Data for crystalline MnSb2Os at its relaxed geometry.

Computed properties:
- Magnetization: 7.08 Bohr magnetons per cell

Geometry as CIF:
```
data_MnSb2Os
_chemical_formula_sum 'Mn2 Sb4 Os2'
_cell_length_a 4.009
_cell_length_b 4.009
_cell_length_c 9.298
_cell_angle_alpha 90.00
_cell_angle_beta 90.00
_cell_angle_gamma 90.00
_symmetry_space_group_name_H-M 'I -4 m 2'
_symmetry_Int_Tables_number 119
_symmetry_space_group_name_Hall 'I -4 -2'
loop_
_atom_site_label
_atom_site_fract_x
_atom_site_fract_y
_atom_site_fract_z
Mn1 0.000 0.000 0.000
Sb1 0.000 0.000 0.500
Sb2 0.000 0.500 0.250
Os1 0.000 0.500 0.750
```

=====

<iii>
## MnSb2Os (PBE-GGA)

Data for crystalline MnSb2Os at its relaxed geometry.

Computed properties:
- Magnetization: 7.95 Bohr magnetons per cell

Geometry as CIF:
```
data_MnSb2Os
_chemical_formula_sum 'Mn2 Sb4 Os2'
_cell_length_a 3.199
_cell_length_b 4.265
_cell_length_c 13.153
_cell_angle_alpha 90.00
_cell_angle_beta 90.00
_cell_angle_gamma 90.00
_symmetry_space_group_name_H-M 'I m m m'
_symmetry_Int_Tables_number 71
_symmetry_space_group_name_Hall '-I 2 2'
loop_
_atom_site_label
_atom_site_fract_x
_atom_site_fract_y
_atom_site_fract_z
Mn1 0.000 0.000 0.000
Sb1 0.000 0.500 0.164
Os1 0.000 0.000 0.500
```

=====

<iv>
## MnSb2Os (PBE-GGA)

Data for crystalline MnSb2Os at its relaxed geometry.

Computed properties:
- Magnetization: 2.72 Bohr magnetons per cell

Geometry as CIF:
```
data_MnSb2Os
_chemical_formula_sum 'Mn1 Sb2 Os1'
_cell_length_a 3.267
_cell_length_b 5.002
_cell_length_c 4.512
_cell_angle_alpha 90.00
_cell_angle_beta 90.00
_cell_angle_gamma 90.00
_symmetry_space_group_name_H-M 'P m m 2'
_symmetry_Int_Tables_number 25
loop_
_symmetry_equiv_pos_as_xyz
'x,y,z'
'-x,-y,z'
'-x,y,z'
'x,-y,z'
loop_
_atom_site_label
_atom_site_fract_x
_atom_site_fract_y
_atom_site_fract_z
Mn1 0.000 0.000 0.000
Sb1 0.000 0.500 0.235
Sb2 0.500 0.000 0.511
Os1 0.500 0.500 0.744
```

=====

Stability summary - winner: <iii>; margin: 35 meV/atom.

=====

<i>
## MnSb2Os (PBE-GGA)

Data for crystalline MnSb2Os at its relaxed geometry.

Computed properties:
- Magnetization: 15.02 Bohr magnetons per cell

Geometry as CIF:
```
data_MnSb2Os
_chemical_formula_sum 'Mn4 Sb8 Os4'
_cell_length_a 6.320
_cell_length_b 6.320
_cell_length_c 11.097
_cell_angle_alpha 90.00
_cell_angle_beta 90.00
_cell_angle_gamma 90.00
_symmetry_space_group_name_H-M 'I -4 2 d'
_symmetry_Int_Tables_number 122
_symmetry_space_group_name_Hall 'I -4 2bw'
loop_
_atom_site_label
_atom_site_fract_x
_atom_site_fract_y
_atom_site_fract_z
Mn1 0.000 0.000 0.000
Sb1 0.230 0.250 0.625
Os1 0.000 0.000 0.500
```

=====

<ii>
## MnSb2Os (PBE-GGA)

Data for crystalline MnSb2Os at its relaxed geometry.

Computed properties:
- Magnetization: 18.56 Bohr magnetons per cell

Geometry as CIF:
```
data_MnSb2Os
_chemical_formula_sum 'Mn4 Sb8 Os4'
_cell_length_a 6.755
_cell_length_b 6.755
_cell_length_c 6.755
_cell_angle_alpha 90.00
_cell_angle_beta 90.00
_cell_angle_gamma 90.00
_symmetry_space_group_name_H-M 'F -4 3 m'
_symmetry_Int_Tables_number 216
_symmetry_space_group_name_Hall 'F -4 2 3'
loop_
_atom_site_label
_atom_site_fract_x
_atom_site_fract_y
_atom_site_fract_z
Mn1 0.000 0.000 0.000
Sb1 0.000 0.000 0.500
Sb2 0.250 0.250 0.750
Os1 0.250 0.250 0.250
```

=====

Stability summary - winner: <i>; margin: 28 meV/atom.